(1)
A plane-wave DFT calculation with PBE was carried out for Tb2Sm8Dy3 after structural relaxation.

a = 5.688 Å, b = 7.688 Å, c = 10.875 Å
α = 110.70°, β = 90.03°, γ = 90.00°
Positions (direct):
Dy  0.000  0.714  0.000
Dy  0.500  0.000  0.000
Dy  0.000  0.286  0.000
Sm  0.999  0.329  0.658
Sm  0.500  0.813  0.212
Sm  0.001  0.671  0.342
Sm  0.000  0.132  0.264
Sm  0.500  0.399  0.212
Sm  0.500  0.601  0.788
Sm  0.000  0.868  0.736
Sm  0.500  0.187  0.788
Tb  0.499  0.241  0.481
Tb  0.501  0.759  0.519

Properties
- DFT formation energy (eV per atom) = 0.2156
- N(E_F) (states/eV/cell) = 20.0

=====

(2)
A plane-wave DFT calculation with PBE was carried out for AcTcGeO6 after structural relaxation.

a = 5.203 Å, b = 5.203 Å, c = 10.715 Å
α = 90.00°, β = 90.00°, γ = 120.00°
Positions (direct):
Ge  0.667  0.333  0.250
Ge  0.333  0.667  0.750
O  0.992  0.378  0.148
O  0.008  0.385  0.648
O  0.622  0.008  0.352
O  0.378  0.385  0.852
O  0.378  0.992  0.648
O  0.615  0.622  0.648
O  0.992  0.615  0.352
O  0.008  0.622  0.852
O  0.385  0.378  0.352
O  0.622  0.615  0.148
O  0.615  0.992  0.852
O  0.385  0.008  0.148
Tc  0.667  0.333  0.750
Tc  0.333  0.667  0.250
Ac  0.000  0.000  0.000
Ac  0.000  0.000  0.500

Properties
- formation energy (no corrections) (eV/atom) = -2.07
- N(E_F) (states/eV/cell) = 11.1